Below is NaHf3I after structural relaxation, with properties calculated at the PBE level.

a = 5.0727 Å, b = 5.0727 Å, c = 5.0727 Å
α = 90.00°, β = 90.00°, γ = 90.00°
Fractional coordinates of all 5 atoms:
Na 0.0000 0.0000 0.0000
Hf 0.0000 0.0000 0.5000
Hf 0.0000 0.5000 0.0000
Hf 0.5000 0.0000 0.0000
I 0.5000 0.5000 0.5000

Space-group type: Pm-3m, No. 221
Energy above the lowest structure with this stoichiometry, meV/atom: 420
Formation energy from raw total energies, eV per atom: 1.639

---

Below is SnSeNO2 after structural relaxation, with properties calculated at the PBE level.

a = 3.9925 Å, b = 3.9925 Å, c = 4.2996 Å
α = 90.00°, β = 90.00°, γ = 90.00°
Fractional coordinates of all 5 atoms:
Sn 0.0000 0.0000 0.0000
Se 0.5000 0.5000 0.5000
N 0.0000 0.0000 0.5000
O 0.0000 0.5000 0.0000
O 0.5000 0.0000 0.0000

Space-group type: P4/mmm, No. 123
Formation energy from raw total energies, eV per atom: 0.367

---

Below is MnVCo4 after structural relaxation, with properties calculated at the PBE level.

a = 6.5119 Å, b = 6.5119 Å, c = 6.5119 Å
α = 33.70°, β = 33.70°, γ = 33.70°
Fractional coordinates of all 6 atoms:
Mn 0.0000 0.0000 0.0000
V 0.5000 0.5000 0.5000
Co 0.1231 0.1231 0.1231
Co 0.3724 0.3724 0.3724
Co 0.6276 0.6276 0.6276
Co 0.8769 0.8769 0.8769

Space-group type: R-3m, No. 166
Energy, eV per atom: -7.325

---

Below is KNiB2 after structural relaxation, with properties calculated at the PBE level.

a = 6.3869 Å, b = 6.3869 Å, c = 6.3869 Å
α = 130.91°, β = 130.91°, γ = 71.95°
Fractional coordinates of all 8 atoms:
K 0.3750 0.6250 0.7500
K 0.6250 0.3750 0.2500
Ni 0.1250 0.8750 0.2500
Ni 0.8750 0.1250 0.7500
B 0.0000 0.0000 0.0000
B 0.0000 0.0000 0.5000
B 0.0000 0.5000 0.0000
B 0.5000 0.0000 0.5000

Space-group type: I4_1/amd, No. 141
Energy above the lowest structure with this stoichiometry, meV/atom: 0

---

Below is TeAs4W after structural relaxation, with properties calculated at the PBE level.

a = 5.5487 Å, b = 5.5487 Å, c = 5.5487 Å
α = 60.00°, β = 60.00°, γ = 60.00°
Fractional coordinates of all 6 atoms:
Te 0.0000 0.0000 0.0000
As 0.3751 0.3751 0.3751
As 0.3751 0.3751 0.8747
As 0.3751 0.8747 0.3751
As 0.8747 0.3751 0.3751
W 0.7500 0.7500 0.7500

Space-group type: F-43m, No. 216
Formation energy from raw total energies, eV per atom: 1.017

---

Below is Sm6Hg3N2 after structural relaxation, with properties calculated at the PBE level.

a = 12.6924 Å, b = 12.6924 Å, c = 12.6924 Å
α = 157.95°, β = 157.95°, γ = 31.39°
Fractional coordinates of all 11 atoms:
Sm 0.0856 0.5856 0.5000
Sm 0.1977 0.1977 0.0000
Sm 0.4144 0.9144 0.5000
Sm 0.5856 0.0856 0.5000
Sm 0.8023 0.8023 0.0000
Sm 0.9144 0.4144 0.5000
Hg 0.3258 0.3258 0.0000
Hg 0.5000 0.5000 0.0000
Hg 0.6742 0.6742 0.0000
N 0.1058 0.1058 0.0000
N 0.8942 0.8942 0.0000

Space-group type: I4/mmm, No. 139
Formation energy from raw total energies, eV per atom: -0.686

---

Below is Ce3OsC after structural relaxation, with properties calculated at the PBE level.

a = 6.2542 Å, b = 6.2542 Å, c = 9.9478 Å
α = 100.82°, β = 100.82°, γ = 34.67°
Fractional coordinates of all 10 atoms:
Ce 0.1213 0.1213 0.2147
Ce 0.1486 0.1486 0.6018
Ce 0.3689 0.3689 0.0864
Ce 0.6311 0.6311 0.9136
Ce 0.8514 0.8514 0.3982
Ce 0.8787 0.8787 0.7853
Os 0.4320 0.4320 0.6051
Os 0.5680 0.5680 0.3949
C 0.2435 0.2435 0.8541
C 0.7565 0.7565 0.1459

Space-group type: C2/m, No. 12
Energy, eV per atom: -7.757

---

Below is KSe3 after structural relaxation, with properties calculated at the PBE level.

a = 4.5597 Å, b = 4.5597 Å, c = 4.5597 Å
α = 90.00°, β = 90.00°, γ = 90.00°
Fractional coordinates of all 4 atoms:
K 0.0000 0.0000 0.0000
Se 0.0000 0.5000 0.5000
Se 0.5000 0.0000 0.5000
Se 0.5000 0.5000 0.0000

Space-group type: Pm-3m, No. 221
Energy above the lowest structure with this stoichiometry, meV/atom: 438
Formation energy from raw total energies, eV per atom: -0.037

---

| no. | total moment (μB/atom) |
| --- | --- |
| 1 | 0.190 |
| 2 | 0.000 |
| 3 | 0.123 |
| 4 | 0.000 |
| 5 | 0.294 |
| 6 | 0.000 |
| 7 | 0.098 |
| 8 | 0.000 |